DFT (PBE) results for a relaxed Dy2Cd17 crystal.

Cell lengths 10.0290, 10.0290, 14.9925 Å; angles 90.00, 90.00, 120.00 degrees
Space group R-3m (No. 166, hexagonal axes)
Inequivalent atoms, fractional coordinates:
Dy1 0.0000 0.0000 0.1715 x6
Cd1 0.0000 0.0000 0.3982 x6
Cd2 0.0000 0.3026 0.5000 x18
Cd3 0.0000 0.5000 0.0000 x9
Cd4 0.0157 0.5078 0.6463 x18

Results
energy: -1.399 eV per atom

DFT (PBE) results for a relaxed DyCd2 crystal.

Cell lengths 3.453, 3.453, 12.300 Å; angles 90.00, 90.00, 90.00 degrees
Space group I4/mmm (No. 139)
Inequivalent atoms, fractional coordinates:
Dy1 0.000 0.000 0.000 x2
Cd1 0.000 0.000 0.325 x4

Results
energy: -2.378 eV per atom

DFT (PBE) results for a relaxed Dy3Cd2 crystal.

Cell lengths 8.963, 5.170, 6.377 Å; angles 90.00, 90.11, 90.00 degrees
Space group C2/m (No. 12)
Inequivalent atoms, fractional coordinates:
Dy1 0.000 0.000 0.000 x2
Dy2 0.167 0.500 0.349 x4
Cd1 0.167 0.500 0.845 x4

Results
energy: -3.196 eV per atom
energy relative to the lowest polymorph listed for this composition: 169 meV/atom

DFT (PBE) results for a relaxed Dy7Cd3 crystal.

Cell lengths 10.0295, 10.0295, 6.7958 Å; angles 90.00, 90.00, 120.00 degrees
Space group P6_3mc (No. 186)
Inequivalent atoms, fractional coordinates:
Dy1 0.0609 0.5304 0.0000 x6
Dy2 0.1253 0.2506 0.7380 x6
Dy3 0.3333 0.6667 0.6164 x2
Cd1 0.2054 0.4108 0.2991 x6

Results
energy: -3.581 eV per atom

no.,energy of formation (eV per atom)
1,-0.096
2,-0.234
3,-0.069
4,-0.085